Record 1
meta-GGA SCAN Mg2H32Ru2Cl10O17, PBEsol geometry; M_tot = 0.000 μB per atom; V = 11.0 A^3/atom; total DFT energy (no corrections) = -0.2614 hartree per atom
1.0
8.262 0.033 0.000
-1.149 10.251 0.000
0.000 0.000 16.306
Mg H Ru Cl O
4 64 4 20 34
Direct
0.014 0.252 0.813
0.986 0.248 0.313
0.986 0.748 0.187
0.014 0.752 0.687
0.095 0.209 0.657
0.905 0.291 0.157
0.905 0.791 0.343
0.095 0.709 0.843
0.927 0.116 0.676
0.073 0.384 0.176
0.073 0.884 0.324
0.927 0.616 0.824
0.266 0.427 0.750
0.734 0.073 0.250
0.734 0.573 0.250
0.266 0.927 0.750
0.126 0.506 0.787
0.874 0.994 0.287
0.874 0.494 0.213
0.126 0.006 0.713
0.186 0.063 0.880
0.814 0.437 0.380
0.814 0.937 0.120
0.186 0.563 0.620
0.305 0.193 0.880
0.695 0.307 0.380
0.695 0.807 0.120
0.305 0.693 0.620
0.082 0.385 0.950
0.918 0.115 0.450
0.918 0.615 0.050
0.082 0.885 0.550
0.923 0.284 0.965
0.077 0.216 0.465
0.077 0.716 0.035
0.923 0.784 0.535
0.841 0.022 0.882
0.159 0.478 0.382
0.159 0.978 0.118
0.841 0.522 0.618
0.732 0.112 0.835
0.268 0.388 0.335
0.268 0.888 0.165
0.732 0.612 0.665
0.782 0.338 0.711
0.218 0.162 0.211
0.218 0.662 0.289
0.782 0.838 0.789
0.775 0.404 0.799
0.225 0.096 0.299
0.225 0.596 0.201
0.775 0.904 0.701
0.758 0.029 0.586
0.242 0.471 0.086
0.242 0.971 0.414
0.758 0.529 0.914
0.664 0.085 0.660
0.336 0.415 0.160
0.336 0.915 0.340
0.664 0.585 0.840
0.695 0.967 0.456
0.305 0.533 0.956
0.305 0.033 0.544
0.695 0.467 0.044
0.659 0.110 0.476
0.341 0.390 0.976
0.341 0.890 0.524
0.659 0.610 0.024
0.478 0.358 0.561
0.522 0.142 0.061
0.522 0.642 0.439
0.478 0.858 0.939
0.472 0.226 0.442
0.528 0.274 0.942
0.528 0.774 0.558
0.472 0.726 0.058
0.758 0.339 0.571
0.242 0.161 0.071
0.242 0.661 0.429
0.758 0.839 0.929
0.190 0.356 0.562
0.810 0.144 0.062
0.810 0.644 0.438
0.190 0.856 0.938
0.432 0.165 0.636
0.568 0.335 0.136
0.568 0.835 0.364
0.432 0.665 0.864
0.489 0.469 0.686
0.511 0.031 0.186
0.511 0.531 0.314
0.489 0.969 0.814
0.038 0.153 0.700
0.962 0.347 0.200
0.962 0.847 0.300
0.038 0.653 0.800
0.164 0.417 0.782
0.836 0.083 0.282
0.836 0.583 0.218
0.164 0.917 0.718
0.199 0.153 0.859
0.801 0.347 0.359
0.801 0.847 0.141
0.199 0.653 0.641
0.979 0.344 0.924
0.021 0.156 0.424
0.021 0.656 0.076
0.979 0.844 0.576
0.846 0.102 0.848
0.154 0.398 0.348
0.154 0.898 0.152
0.846 0.602 0.652
0.808 0.326 0.769
0.192 0.174 0.269
0.192 0.674 0.231
0.808 0.826 0.731
0.761 0.040 0.648
0.239 0.460 0.148
0.239 0.960 0.352
0.761 0.540 0.852
0.740 0.046 0.486
0.260 0.454 0.986
0.260 0.954 0.514
0.740 0.546 0.014
0.500 0.500 0.500
0.500 0.000 0.000

Record 2
meta-GGA SCAN TiOsC2, PBEsol geometry; M_tot = 0.000 μB per atom; distance to the lowest polymorph of the same formula = 324 meV per atom; V = 9.3 A^3/atom
1.0
3.751 0.000 0.000
1.875 3.248 0.000
1.875 1.083 3.062
C Os Ti
2 1 1
Direct
0.250 0.250 0.250
0.750 0.750 0.750
0.500 0.500 0.500
0.000 0.000 0.000

Record 3
meta-GGA SCAN InGeN2O, PBEsol geometry; M_tot = 0.001 μB per atom; V = 10.9 A^3/atom; total DFT energy (no corrections) = -0.5546 hartree per atom
1.0
-3.617 0.032 -0.888
0.752 -2.067 -3.136
-0.520 -3.224 2.001
Ge N O In
1 2 1 1
Direct
0.000 0.000 0.000
0.000 0.000 0.500
0.000 0.500 0.000
0.500 0.000 0.000
0.500 0.500 0.500

Record 4
meta-GGA SCAN LaMo2Ir2, PBEsol geometry; M_tot = 0.000 μB per atom; V = 19.6 A^3/atom; total DFT energy (no corrections) = -1.8882 hartree per atom
1.0
-2.349 1.643 3.391
2.865 -1.816 2.865
2.488 4.243 -3.240
Mo Ir La
2 2 1
Direct
0.250 0.750 0.500
0.750 0.250 0.500
0.367 0.367 0.735
0.633 0.633 0.265
0.000 0.000 0.000

Record 5
meta-GGA SCAN SbMoOs2, PBEsol geometry; M_tot = 0.000 μB per atom; V = 15.8 A^3/atom; total DFT energy (no corrections) = -1.9670 hartree per atom
1.0
2.921 0.000 0.000
0.000 4.713 -0.050
-1.461 -0.712 4.603
Mo Os Sb
1 2 1
Direct
0.738 0.240 0.476
0.002 0.982 0.003
0.262 0.784 0.524
0.498 0.494 0.997

Record 6
meta-GGA SCAN CrTePt2, PBEsol geometry; M_tot = 0.900 μB per atom; V = 16.8 A^3/atom; total DFT energy (no corrections) = -1.8055 hartree per atom
1.0
3.656 0.000 0.000
0.000 4.327 0.034
0.000 -0.887 4.235
Cr Pt Te
1 2 1
Direct
0.500 0.500 0.500
0.000 0.500 0.000
0.000 0.000 0.500
0.500 0.000 0.000